[1]
Below is AgTeOs2 after structural relaxation, with properties calculated at the GGA-PBE level.

Geometry as POSCAR:
```
AgTeOs2
1.0
5.9088 0.0076 0.0030
3.2604 4.9279 -0.0030
-3.9889 -3.5745 2.4952
Te Ag Os
1 1 2
direct
0.4664 0.4664 0.0000
0.7630 0.2630 0.5000
0.0346 0.0346 0.0000
0.2359 0.7359 0.5000
```

- raw formation energy (eV/atom) = 0.86
- calculated density (g/cm³) = 14.097
- E (eV per cell) = -24.997
- density of states at the Fermi level (states/eV per cell) = 3.70
- SG = Imm2, No. 44

[2]
Below is NbAlPd2 after structural relaxation, with properties calculated at the GGA-PBE level.

Geometry as POSCAR:
```
NbAlPd2
1.0
3.9350 0.0000 0.0000
0.0000 3.9350 0.0000
1.9675 1.9675 8.9162
Al Pd Nb
2 4 2
direct
0.5000 0.5000 0.0000
0.2500 0.7500 0.5000
0.1342 0.6250 0.2500
0.6158 0.1250 0.2500
0.8750 0.8658 0.7500
0.3750 0.3842 0.7500
0.0000 0.0000 0.0000
0.7500 0.2500 0.5000
```

- calculated density (g/cm³) = 8.004
- calculated formation energy (eV per atom) = -0.1062
- E (eV per cell) = -49.245
- density of states at the Fermi level (states/eV per cell) = 4.62
- SG = I-42d, No. 122